## one
# PrNd8Cd2, relaxed, DFT PBE
# Total magnetization in Bohr magnetons per cell: 0.00
data_PrNd8Cd2
_chemical_formula_sum 'Pr2 Nd16 Cd4'
_space_group_name_H-M_alt 'C 1 2/m 1'
_space_group_IT_number 12
_space_group_name_Hall '-C 2y'
_cell_length_a 16.017
_cell_length_b 6.945
_cell_length_c 6.746
_cell_angle_alpha 90.00
_cell_angle_beta 100.97
_cell_angle_gamma 90.00
loop_
_atom_site_label
_atom_site_fract_x
_atom_site_fract_y
_atom_site_fract_z
Pr1 0.000 0.000 0.000
Nd1 0.088 0.500 0.912
Nd2 0.099 0.265 0.416
Nd3 0.208 0.000 0.820
Cd1 0.244 0.000 0.301

## two
# PrNd8Cd2, relaxed, DFT PBE
# Total magnetization in Bohr magnetons per cell: 0.00
data_PrNd8Cd2
_chemical_formula_sum 'Pr2 Nd16 Cd4'
_space_group_name_H-M_alt 'C 1 2/m 1'
_space_group_IT_number 12
_space_group_name_Hall '-C 2y'
_cell_length_a 17.116
_cell_length_b 5.453
_cell_length_c 8.558
_cell_angle_alpha 90.00
_cell_angle_beta 114.36
_cell_angle_gamma 90.00
loop_
_atom_site_label
_atom_site_fract_x
_atom_site_fract_y
_atom_site_fract_z
Pr1 0.000 0.000 0.000
Nd1 0.053 0.500 0.737
Nd2 0.103 0.000 0.469
Nd3 0.151 0.500 0.209
Nd4 0.188 0.000 0.957
Cd1 0.222 0.500 0.631

Which is most stable, and by how much? two, by 0.087 eV/atom.

## one
# Pr6NdCd, relaxed, DFT PBE
# Total magnetization in Bohr magnetons per cell: 0.00
data_Pr6NdCd
_chemical_formula_sum 'Pr18 Nd3 Cd3'
_space_group_name_H-M_alt 'R -3'
_space_group_IT_number 148
_space_group_name_Hall '-R 3'
_cell_length_a 9.7246
_cell_length_b 9.7246
_cell_length_c 10.1522
_cell_angle_alpha 90.00
_cell_angle_beta 90.00
_cell_angle_gamma 120.00
loop_
_atom_site_label
_atom_site_fract_x
_atom_site_fract_y
_atom_site_fract_z
Pr1 0.0240 0.2626 0.2136
Nd1 0.0000 0.0000 0.5000
Cd1 0.0000 0.0000 0.0000

## two
# Pr6NdCd, relaxed, DFT PBE
# Total magnetization in Bohr magnetons per cell: 0.00
data_Pr6NdCd
_chemical_formula_sum 'Pr12 Nd2 Cd2'
_space_group_name_H-M_alt 'I 4/m m m'
_space_group_IT_number 139
_space_group_name_Hall '-I 4 2'
_cell_length_a 5.086
_cell_length_b 5.086
_cell_length_c 20.956
_cell_angle_alpha 90.00
_cell_angle_beta 90.00
_cell_angle_gamma 90.00
loop_
_atom_site_label
_atom_site_fract_x
_atom_site_fract_y
_atom_site_fract_z
Pr1 0.000 0.000 0.249
Pr2 0.000 0.500 0.121
Nd1 0.000 0.000 0.000
Cd1 0.000 0.000 0.500

Which is most stable, and by how much? two, by 0.057 eV/atom.

## one
# Pr2NdCd2, relaxed, DFT PBE
# Total magnetization in Bohr magnetons per cell: 0.00
data_Pr2NdCd2
_chemical_formula_sum 'Pr4 Nd2 Cd4'
_space_group_name_H-M_alt 'C 1 2/m 1'
_space_group_IT_number 12
_space_group_name_Hall '-C 2y'
_cell_length_a 12.081
_cell_length_b 3.848
_cell_length_c 8.559
_cell_angle_alpha 90.00
_cell_angle_beta 130.34
_cell_angle_gamma 90.00
loop_
_atom_site_label
_atom_site_fract_x
_atom_site_fract_y
_atom_site_fract_z
Pr1 0.160 0.000 0.259
Nd1 0.000 0.000 0.500
Cd1 0.128 0.500 0.904

## two
# Pr2NdCd2, relaxed, DFT PBE
# Total magnetization in Bohr magnetons per cell: 0.02
data_Pr2NdCd2
_chemical_formula_sum 'Pr4 Nd2 Cd4'
_space_group_name_H-M_alt 'P 1 21/m 1'
_space_group_IT_number 11
_space_group_name_Hall '-P 2yb'
_cell_length_a 3.859
_cell_length_b 5.551
_cell_length_c 14.375
_cell_angle_alpha 90.00
_cell_angle_beta 97.75
_cell_angle_gamma 90.00
loop_
_atom_site_label
_atom_site_fract_x
_atom_site_fract_y
_atom_site_fract_z
Pr1 0.045 0.250 0.090
Pr2 0.234 0.250 0.471
Nd1 0.149 0.750 0.295
Cd1 0.360 0.750 0.720
Cd2 0.447 0.250 0.894

Which is most stable, and by how much? two, by 0.059 eV/atom.

## one
# PrNd4Cd, relaxed, DFT PBE
# Total magnetization in Bohr magnetons per cell: 0.00
data_PrNd4Cd
_chemical_formula_sum 'Pr1 Nd4 Cd1'
_space_group_name_H-M_alt 'P 4/m m m'
_space_group_IT_number 123
_space_group_name_Hall '-P 4 2'
_cell_length_a 3.709
_cell_length_b 3.709
_cell_length_c 14.506
_cell_angle_alpha 90.00
_cell_angle_beta 90.00
_cell_angle_gamma 90.00
loop_
_atom_site_label
_atom_site_fract_x
_atom_site_fract_y
_atom_site_fract_z
Pr1 0.000 0.000 0.000
Nd1 0.000 0.000 0.356
Nd2 0.500 0.500 0.180
Cd1 0.500 0.500 0.500

## two
# PrNd4Cd, relaxed, DFT PBE
# Total magnetization in Bohr magnetons per cell: 0.00
data_PrNd4Cd
_chemical_formula_sum 'Pr4 Nd16 Cd4'
_space_group_name_H-M_alt 'C 1 2/c 1'
_space_group_IT_number 15
_space_group_name_Hall '-C 2yc'
_cell_length_a 9.035
_cell_length_b 14.528
_cell_length_c 6.493
_cell_angle_alpha 90.00
_cell_angle_beta 109.22
_cell_angle_gamma 90.00
loop_
_atom_site_label
_atom_site_fract_x
_atom_site_fract_y
_atom_site_fract_z
Pr1 0.000 0.087 0.250
Nd1 0.097 0.310 0.546
Nd2 0.217 0.120 0.876
Cd1 0.000 0.499 0.250

Which is most stable, and by how much? one, by 0.087 eV/atom.

## one
# Pr8Nd2Cd, relaxed, DFT PBE
# Total magnetization in Bohr magnetons per cell: 0.00
data_Pr8Nd2Cd
_chemical_formula_sum 'Pr16 Nd4 Cd2'
_space_group_name_H-M_alt 'C 1 2/m 1'
_space_group_IT_number 12
_space_group_name_Hall '-C 2y'
_cell_length_a 17.977
_cell_length_b 5.665
_cell_length_c 8.175
_cell_angle_alpha 90.00
_cell_angle_beta 111.84
_cell_angle_gamma 90.00
loop_
_atom_site_label
_atom_site_fract_x
_atom_site_fract_y
_atom_site_fract_z
Pr1 0.017 0.000 0.263
Pr2 0.101 0.500 0.932
Pr3 0.167 0.500 0.424
Pr4 0.178 0.000 0.727
Nd1 0.190 0.000 0.157
Cd1 0.000 0.500 0.500

## two
# Pr8Nd2Cd, relaxed, DFT PBE
# Total magnetization in Bohr magnetons per cell: 0.00
data_Pr8Nd2Cd
_chemical_formula_sum 'Pr16 Nd4 Cd2'
_space_group_name_H-M_alt 'C 1 2/m 1'
_space_group_IT_number 12
_space_group_name_Hall '-C 2y'
_cell_length_a 11.634
_cell_length_b 5.207
_cell_length_c 12.928
_cell_angle_alpha 90.00
_cell_angle_beta 104.10
_cell_angle_gamma 90.00
loop_
_atom_site_label
_atom_site_fract_x
_atom_site_fract_y
_atom_site_fract_z
Pr1 0.036 0.000 0.325
Pr2 0.089 0.500 0.140
Pr3 0.140 0.000 0.952
Pr4 0.247 0.000 0.587
Nd1 0.185 0.500 0.760
Cd1 0.000 0.500 0.500

Which is most stable, and by how much? two, by 0.063 eV/atom.

## one
# PrNdZnCd, relaxed, DFT PBE
# Total magnetization in Bohr magnetons per cell: 0.01
data_PrNdZnCd
_chemical_formula_sum 'Pr4 Nd4 Zn4 Cd4'
_space_group_name_H-M_alt 'F -4 3 m'
_space_group_IT_number 216
_space_group_name_Hall 'F -4 2 3'
_cell_length_a 7.578
_cell_length_b 7.578
_cell_length_c 7.578
_cell_angle_alpha 90.00
_cell_angle_beta 90.00
_cell_angle_gamma 90.00
loop_
_atom_site_label
_atom_site_fract_x
_atom_site_fract_y
_atom_site_fract_z
Pr1 0.000 0.000 0.000
Nd1 0.000 0.000 0.500
Zn1 0.250 0.250 0.750
Cd1 0.250 0.250 0.250

## two
# PrNdZnCd, relaxed, DFT PBE
# Total magnetization in Bohr magnetons per cell: 0.00
data_PrNdZnCd
_chemical_formula_sum 'Pr1 Nd1 Zn1 Cd1'
_space_group_name_H-M_alt 'P 4 m m'
_space_group_IT_number 99
_space_group_name_Hall 'P 4 -2'
_cell_length_a 3.753
_cell_length_b 3.753
_cell_length_c 7.681
_cell_angle_alpha 90.00
_cell_angle_beta 90.00
_cell_angle_gamma 90.00
loop_
_atom_site_label
_atom_site_fract_x
_atom_site_fract_y
_atom_site_fract_z
Pr1 0.000 0.000 0.000
Nd1 0.000 0.000 0.461
Zn1 0.500 0.500 0.234
Cd1 0.500 0.500 0.727

Which is most stable, and by how much? two, by 0.022 eV/atom.

## one
# Nd2CdPt, relaxed, DFT PBE
# Total magnetization in Bohr magnetons per cell: 0.00
data_Nd2CdPt
_chemical_formula_sum 'Nd4 Cd2 Pt2'
_space_group_name_H-M_alt 'P m m a'
_space_group_IT_number 51
_space_group_name_Hall '-P 2a 2a'
_cell_length_a 7.386
_cell_length_b 3.722
_cell_length_c 7.581
_cell_angle_alpha 90.00
_cell_angle_beta 90.00
_cell_angle_gamma 90.00
loop_
_atom_site_label
_atom_site_fract_x
_atom_site_fract_y
_atom_site_fract_z
Nd1 0.007 0.000 0.225
Cd1 0.250 0.500 0.515
Pt1 0.250 0.500 0.965

## two
# Nd2CdPt, relaxed, DFT PBE
# Total magnetization in Bohr magnetons per cell: 0.00
data_Nd2CdPt
_chemical_formula_sum 'Nd8 Cd4 Pt4'
_space_group_name_H-M_alt 'F m -3 m'
_space_group_IT_number 225
_space_group_name_Hall '-F 4 2 3'
_cell_length_a 7.438
_cell_length_b 7.438
_cell_length_c 7.438
_cell_angle_alpha 90.00
_cell_angle_beta 90.00
_cell_angle_gamma 90.00
loop_
_atom_site_label
_atom_site_fract_x
_atom_site_fract_y
_atom_site_fract_z
Nd1 0.250 0.250 0.250
Cd1 0.000 0.000 0.000
Pt1 0.000 0.000 0.500

Which is most stable, and by how much? one, by 0.069 eV/atom.

## one
# Nd2CdPt, relaxed, DFT PBE
# Total magnetization in Bohr magnetons per cell: 0.00
data_Nd2CdPt
_chemical_formula_sum 'Nd2 Cd1 Pt1'
_space_group_name_H-M_alt 'P 4/m m m'
_space_group_IT_number 123
_space_group_name_Hall '-P 4 2'
_cell_length_a 3.703
_cell_length_b 3.703
_cell_length_c 7.594
_cell_angle_alpha 90.00
_cell_angle_beta 90.00
_cell_angle_gamma 90.00
loop_
_atom_site_label
_atom_site_fract_x
_atom_site_fract_y
_atom_site_fract_z
Nd1 0.000 0.000 0.224
Cd1 0.500 0.500 0.500
Pt1 0.500 0.500 0.000

## two
# Nd2CdPt, relaxed, DFT PBE
# Total magnetization in Bohr magnetons per cell: 0.00
data_Nd2CdPt
_chemical_formula_sum 'Nd6 Cd3 Pt3'
_space_group_name_H-M_alt 'R -3 m'
_space_group_IT_number 166
_space_group_name_Hall '-R 3 2"'
_cell_length_a 4.2365
_cell_length_b 4.2365
_cell_length_c 29.1810
_cell_angle_alpha 90.00
_cell_angle_beta 90.00
_cell_angle_gamma 120.00
loop_
_atom_site_label
_atom_site_fract_x
_atom_site_fract_y
_atom_site_fract_z
Nd1 0.0000 0.0000 0.1150
Cd1 0.0000 0.0000 0.0000
Pt1 0.0000 0.0000 0.5000

Which is most stable, and by how much? one, by 0.303 eV/atom.